{
  "formula": "CoCl2F",
  "functional": "PBE with a Hubbard U",
  "state": "relaxed",
  "final_energy_ev_per_atom": -3.206,
  "lattice_angstrom": [[2.0860, 0.0000, 7.2177], [-1.0430, 1.8066, 7.2177], [-1.0430, -1.8066, 7.2177]],
  "species": ["Co", "Cl", "F", "Cl"],
  "fractional_positions": [[0.5000, 0.5000, 0.5000], [0.8931, 0.8931, 0.8931], [0.0000, 0.0000, 0.0000], [0.1069, 0.1069, 0.1069]]
}